# MgFeCuRh (PBE, relaxed)
data_MgFeCuRh
_chemical_formula_sum 'Mg4 Fe4 Cu4 Rh4'
_symmetry_space_group_name_H-M 'F -4 3 m'
_symmetry_Int_Tables_number 216
_symmetry_space_group_name_Hall 'F -4 2 3'
_cell_length_a 6.061
_cell_length_b 6.061
_cell_length_c 6.061
_cell_angle_alpha 90.00
_cell_angle_beta 90.00
_cell_angle_gamma 90.00
loop_
_atom_site_label
_atom_site_type_symbol
_atom_site_fract_x
_atom_site_fract_y
_atom_site_fract_z
Mg1 Mg 0.000 0.000 0.000
Fe1 Fe 0.000 0.000 0.500
Cu1 Cu 0.250 0.250 0.250
Rh1 Rh 0.250 0.250 0.750
# **ρ**: 7.356 g/cm3
# **Total moment**: 13.662 μB/cell
# **ΔE_f**: -0.097 eV/atom
# **Crystal system**: cubic
# **V**: 13.9 Å³ per atom